(1)
Material: Sb2C3N6
Method: DFT, PBE
State: relaxed

Lattice parameters (Å, degrees): 7.5925 3.8521 5.2350 90.00 83.18 75.30
Sites, in units of the cell vectors:
N: 0.3149 0.3425 0.6512
N: 0.3771 0.3114 0.1764
N: 0.9900 0.0050 0.7375
N: 0.6229 0.6886 0.8236
Sb: 0.7333 0.1334 0.0666
C: 0.6578 0.6711 0.5841
C: 0.0000 0.0000 0.5000
Sb: 0.2667 0.8666 0.9334
N: 0.6851 0.6575 0.3488
N: 0.0100 0.9950 0.2625
C: 0.3422 0.3289 0.4159

- Polymorph energy (0 for the lowest one): 68 meV/atom
- Formation energy from raw total energies: 0.360 eV per atom

***

(2)
Material: TbAlGa
Method: DFT, PBE
State: relaxed

Lattice parameters (Å, degrees): 4.2424 6.6593 9.9946 111.02 90.00 90.00
Sites, in units of the cell vectors:
Al: 0.5000 0.2585 0.8250
Tb: 0.5000 0.2837 0.3919
Tb: 0.0000 0.7970 0.3070
Ga: 0.0000 0.6003 0.5260
Ga: 0.5000 0.8900 0.5312
Ga: 0.0000 0.9923 0.7246
Al: 0.5000 0.8769 0.1106
Ga: 0.5000 0.4827 0.1145
Al: 0.0000 0.3475 0.6717
Al: 0.0000 0.6079 0.9714
Tb: 0.5000 0.7182 0.7780
Tb: 0.0000 0.1445 0.0479

- Final energy: -0.1550 Ha/atom
- Fermi-level density of states: 5.604 states/eV/cell

***

(3)
Material: Mn2ZnMo
Method: DFT, PBE
State: relaxed

Lattice parameters (Å, degrees): 2.6439 3.7940 5.3869 90.00 90.00 90.00
Last column: magnetic moment on the atom in μB.
Sites, in units of the cell vectors:
Mn: 0.0000 0.0000 0.0013  2.61
Mn: 0.5000 0.5000 0.2448  -2.08
Zn: 0.5000 0.5000 0.7635  -0.03
Mo: 0.0000 0.0000 0.4904  0.13

- Final energy: -0.2741 Ha/atom
- Fermi-level density of states: 3.327 states/eV/cell

***

(4)
Material: Ti4TcRu3
Method: DFT, PBE
State: relaxed

Lattice parameters (Å, degrees): 3.0857 3.0857 12.3669 90.00 90.00 90.00
Sites, in units of the cell vectors:
Ti: 0.0000 0.0000 0.3743
Tc: 0.5000 0.5000 0.0000
Ti: 0.0000 0.0000 0.8766
Ti: 0.0000 0.0000 0.1234
Ti: 0.0000 0.0000 0.6257
Ru: 0.5000 0.5000 0.2523
Ru: 0.5000 0.5000 0.7477
Ru: 0.5000 0.5000 0.5000

- Final energy: -0.3468 Ha/atom
- Fermi-level density of states: 3.310 states/eV/cell

***

(5)
Material: La2Ge3IrPt12
Method: DFT, PBE
State: relaxed

Lattice parameters (Å, degrees): 8.0055 8.0055 8.0055 61.72 61.72 61.72
Sites, in units of the cell vectors:
Pt: 0.8733 0.3783 0.8733
Pt: 0.6217 0.1267 0.1267
Pt: 0.1148 0.6344 0.6344
Ge: 0.0000 0.0000 0.5000
Ge: 0.0000 0.5000 0.0000
Pt: 0.3783 0.8733 0.8733
Pt: 0.6344 0.1148 0.6344
Pt: 0.8852 0.3656 0.3656
Ir: 0.0000 0.0000 0.0000
Pt: 0.1267 0.1267 0.6217
Pt: 0.1267 0.6217 0.1267
La: 0.6221 0.6221 0.6221
Pt: 0.3656 0.3656 0.8852
La: 0.3779 0.3779 0.3779
Ge: 0.5000 0.0000 0.0000
Pt: 0.6344 0.6344 0.1148
Pt: 0.8733 0.8733 0.3783
Pt: 0.3656 0.8852 0.3656

- Final energy: -0.2237 Ha/atom
- Fermi-level density of states: 9.846 states/eV/cell

***

(6)
Material: KScN2O
Method: DFT, PBE
State: relaxed

Lattice parameters (Å, degrees): 4.0980 4.0980 4.3386 90.00 90.00 90.00
Last column: magnetic moment on the atom in μB.
Sites, in units of the cell vectors:
K: 0.0000 0.0000 0.0000  0.05
N: 0.5000 0.0000 0.0000  0.35
O: 0.0000 0.0000 0.5000  0.06
Sc: 0.5000 0.5000 0.5000  -0.08
N: 0.0000 0.5000 0.0000  0.35

- Fermi-level density of states: 5.211 states/eV/cell
- Formation energy from raw total energies: 1.624 eV per atom

***

(7)
Material: Pm2Si2Os
Method: DFT, PBE
State: relaxed

Lattice parameters (Å, degrees): 4.2710 5.9420 9.1898 87.32 76.56 68.94
Sites, in units of the cell vectors:
Os: 0.6496 0.0767 0.6241
Pm: 0.3314 0.6580 0.6793
Si: 0.6236 0.8802 0.8726
Si: 0.9091 0.7451 0.4367
Pm: 0.9225 0.2635 0.8915
Si: 0.3764 0.1198 0.1274
Si: 0.0909 0.2549 0.5633
Pm: 0.6686 0.3420 0.3207
Os: 0.3504 0.9233 0.3759
Pm: 0.0775 0.7365 0.1085

- Fermi-level density of states: 4.930 states/eV/cell
- Formation energy from raw total energies: -0.712 eV per atom

***

(8)
Material: CoP2IrS
Method: DFT, PBE
State: relaxed

Lattice parameters (Å, degrees): 4.1908 4.1908 4.4278 90.00 90.00 90.00
Sites, in units of the cell vectors:
P: 0.0000 0.5000 0.0000
Ir: 0.5000 0.5000 0.5000
Co: 0.0000 0.0000 0.0000
S: 0.0000 0.0000 0.5000
P: 0.5000 0.0000 0.0000

- Polymorph energy (0 for the lowest one): 0 meV/atom
- Fermi-level density of states: 3.852 states/eV/cell
- Formation energy from raw total energies: 0.780 eV per atom

***

(9)
Material: Dy2ErPuS4
Method: DFT, PBE
State: relaxed

Lattice parameters (Å, degrees): 3.8925 6.7730 6.7700 109.22 90.00 90.00
Last column: magnetic moment on the atom in μB.
Sites, in units of the cell vectors:
S: 0.0000 0.7536 0.2512  -0.04
S: 0.5000 0.7539 0.7512  -0.01
Pu: 0.5000 0.5000 0.0000  5.34
S: 0.5000 0.2461 0.2488  -0.01
S: 0.0000 0.2464 0.7488  -0.04
Dy: 0.0000 0.5000 0.5000  0.06
Dy: 0.5000 0.0000 0.5000  -0.02
Er: 0.0000 0.0000 0.0000  0.07

- Fermi-level density of states: 7.318 states/eV/cell
- Formation energy from raw total energies: -1.951 eV per atom

***

(10)
Material: Pa2AsSe
Method: DFT, PBE
State: relaxed

Lattice parameters (Å, degrees): 3.8284 3.8284 7.9167 76.01 76.01 60.00
Sites, in units of the cell vectors:
Se: 0.4995 0.4995 0.5016
Pa: 0.2537 0.2537 0.2388
Pa: 0.0797 0.0797 0.7608
As: 0.6671 0.6671 0.9988

- Polymorph energy (0 for the lowest one): 110 meV/atom
- Fermi-level density of states: 5.773 states/eV/cell
- Formation energy from raw total energies: -1.035 eV per atom

***

(11)
Material: RhSeBr2
Method: DFT, PBE
State: relaxed

Lattice parameters (Å, degrees): 7.2375 7.2375 7.2375 150.85 136.73 53.02
Last column: magnetic moment on the atom in μB.
Sites, in units of the cell vectors:
Se: 0.3955 0.8954 0.5000  0.03
Br: 0.9368 0.9368 0.0000  0.06
Br: 0.6534 0.1534 0.5000  0.00
Rh: 0.5144 0.5144 0.0000  0.64

- Polymorph energy (0 for the lowest one): 213 meV/atom
- Fermi-level density of states: 2.954 states/eV/cell
- Formation energy from raw total energies: -0.042 eV per atom

***

(12)
Material: MgSc2Br
Method: DFT, PBE
State: relaxed

Lattice parameters (Å, degrees): 3.3082 3.3082 9.3870 90.00 90.00 113.43
Sites, in units of the cell vectors:
Sc: 0.0000 0.0000 0.4843
Sc: 0.0000 0.0000 0.0157
Br: 0.5000 0.5000 0.2500
Mg: 0.5000 0.5000 0.7500

- Polymorph energy (0 for the lowest one): 114 meV/atom
- Fermi-level density of states: 4.920 states/eV/cell
- Formation energy from raw total energies: -0.292 eV per atom